Ac6ZnHg: optimized geometry, PBE.

Cell: 5.649 5.649 10.440 Å, 74.30 74.30 90.00°
Element x y z (fractional)
Ac 0.103 0.603 0.794
Ac 0.397 0.897 0.206
Ac 0.750 0.750 0.499
Ac 0.897 0.397 0.206
Hg 0.500 0.500 0.000
Ac 0.250 0.250 0.501
Zn 0.000 0.000 0.000
Ac 0.603 0.103 0.794

Output
As for the symmetry: I4/mmm, No. 139. For the total energy, the calculation gives -3.45 eV/atom. The formation energy is -0.1738 eV/atom.